1.
A plane-wave DFT calculation with PBE-GGA was carried out for a relaxed Zn2SnS3 crystal.

Geometry as CIF:
```
data_Zn2SnS3
_chemical_formula_sum 'Zn8 Sn4 S12'
_space_group_name_H-M_alt 'C m c m'
_space_group_IT_number 63
_space_group_name_Hall '-C 2c 2'
_cell_length_a 3.767
_cell_length_b 12.784
_cell_length_c 10.009
_cell_angle_alpha 90.00
_cell_angle_beta 90.00
_cell_angle_gamma 90.00
loop_
_atom_site_label
_atom_site_type_symbol
_atom_site_fract_x
_atom_site_fract_y
_atom_site_fract_z
Zn1 Zn 0.000 0.000 0.000
Zn2 Zn 0.000 0.478 0.250
Sn1 Sn 0.000 0.239 0.750
S1 S 0.000 0.088 0.250
S2 S 0.000 0.372 0.063
```

2.
A plane-wave DFT calculation with PBE-GGA was carried out for a relaxed ScInNiS3 crystal.

Geometry as CIF:
```
data_ScInNiS3
_chemical_formula_sum 'Sc4 In4 Ni4 S12'
_space_group_name_H-M_alt 'C m c m'
_space_group_IT_number 63
_space_group_name_Hall '-C 2c 2'
_cell_length_a 3.594
_cell_length_b 13.337
_cell_length_c 9.620
_cell_angle_alpha 90.00
_cell_angle_beta 90.00
_cell_angle_gamma 90.00
loop_
_atom_site_label
_atom_site_type_symbol
_atom_site_fract_x
_atom_site_fract_y
_atom_site_fract_z
Sc1 Sc 0.000 0.000 0.000
In1 In 0.000 0.246 0.250
Ni1 Ni 0.000 0.477 0.750
S1 S 0.000 0.077 0.750
S2 S 0.000 0.369 0.569
```

3.
A plane-wave DFT calculation with PBE-GGA was carried out for a relaxed LuSbW2 crystal.

Geometry as CIF:
```
data_LuSbW2
_chemical_formula_sum 'Lu4 Sb4 W8'
_space_group_name_H-M_alt 'F -4 3 m'
_space_group_IT_number 216
_space_group_name_Hall 'F -4 2 3'
_cell_length_a 6.735
_cell_length_b 6.735
_cell_length_c 6.735
_cell_angle_alpha 90.00
_cell_angle_beta 90.00
_cell_angle_gamma 90.00
loop_
_atom_site_label
_atom_site_type_symbol
_atom_site_fract_x
_atom_site_fract_y
_atom_site_fract_z
Lu1 Lu 0.000 0.000 0.000
Sb1 Sb 0.250 0.250 0.750
W1 W 0.000 0.000 0.500
W2 W 0.250 0.250 0.250
```

4.
A plane-wave DFT calculation with PBE-GGA was carried out for a relaxed UTaW crystal.

Geometry as CIF:
```
data_UTaW
_chemical_formula_sum 'U4 Ta4 W4'
_space_group_name_H-M_alt 'F -4 3 m'
_space_group_IT_number 216
_space_group_name_Hall 'F -4 2 3'
_cell_length_a 6.309
_cell_length_b 6.309
_cell_length_c 6.309
_cell_angle_alpha 90.00
_cell_angle_beta 90.00
_cell_angle_gamma 90.00
loop_
_atom_site_label
_atom_site_type_symbol
_atom_site_fract_x
_atom_site_fract_y
_atom_site_fract_z
U1 U 0.000 0.000 0.000
Ta1 Ta 0.250 0.250 0.750
W1 W 0.250 0.250 0.250
```

Computed properties:
The energy above the most stable polymorph in this dataset comes out at 48.6 kJ per mole of atoms. The value obtained for the formation energy from the elements is 1.295 eV per atom.

5.
A plane-wave DFT calculation with PBE-GGA was carried out for a relaxed BaLaCdAu crystal.

Geometry as CIF:
```
data_BaLaCdAu
_chemical_formula_sum 'Ba4 La4 Cd4 Au4'
_space_group_name_H-M_alt 'F -4 3 m'
_space_group_IT_number 216
_space_group_name_Hall 'F -4 2 3'
_cell_length_a 7.933
_cell_length_b 7.933
_cell_length_c 7.933
_cell_angle_alpha 90.00
_cell_angle_beta 90.00
_cell_angle_gamma 90.00
loop_
_atom_site_label
_atom_site_type_symbol
_atom_site_fract_x
_atom_site_fract_y
_atom_site_fract_z
Ba1 Ba 0.000 0.000 0.000
La1 La 0.000 0.000 0.500
Cd1 Cd 0.250 0.250 0.750
Au1 Au 0.250 0.250 0.250
```

Computed properties:
The energy above the most stable polymorph in this dataset comes out at 0.0 kJ per mole of atoms.

6.
A plane-wave DFT calculation with PBE-GGA was carried out for a relaxed ScGaPd2 crystal.

Geometry as CIF:
```
data_ScGaPd2
_chemical_formula_sum 'Sc4 Ga4 Pd8'
_space_group_name_H-M_alt 'F -4 3 m'
_space_group_IT_number 216
_space_group_name_Hall 'F -4 2 3'
_cell_length_a 6.430
_cell_length_b 6.430
_cell_length_c 6.430
_cell_angle_alpha 90.00
_cell_angle_beta 90.00
_cell_angle_gamma 90.00
loop_
_atom_site_label
_atom_site_type_symbol
_atom_site_fract_x
_atom_site_fract_y
_atom_site_fract_z
Sc1 Sc 0.000 0.000 0.000
Ga1 Ga 0.250 0.250 0.750
Pd1 Pd 0.000 0.000 0.500
Pd2 Pd 0.250 0.250 0.250
```

7.
A plane-wave DFT calculation with PBE-GGA was carried out for a relaxed SrPAuO crystal.

Geometry as CIF:
```
data_SrPAuO
_chemical_formula_sum 'Sr2 P2 Au2 O2'
_space_group_name_H-M_alt 'P 4/n m m'
_space_group_IT_number 129
_cell_length_a 4.481
_cell_length_b 4.481
_cell_length_c 7.815
_cell_angle_alpha 90.00
_cell_angle_beta 90.00
_cell_angle_gamma 90.00
loop_
_space_group_symop_operation_xyz
'x,y,z'
'-x,-y,-z'
'-y+1/2,x,z'
'y+1/2,-x,-z'
'-x+1/2,-y+1/2,z'
'x+1/2,y+1/2,-z'
'y,-x+1/2,z'
'-y,x+1/2,-z'
'x+1/2,-y,-z'
'-x+1/2,y,z'
'-y,-x,-z'
'y,x,z'
'-x,y+1/2,-z'
'x,-y+1/2,z'
'y+1/2,x+1/2,-z'
'-y+1/2,-x+1/2,z'
loop_
_atom_site_label
_atom_site_type_symbol
_atom_site_fract_x
_atom_site_fract_y
_atom_site_fract_z
Sr1 Sr 0.250 0.250 0.117
P1 P 0.250 0.250 0.649
Au1 Au 0.250 0.750 0.500
O1 O 0.250 0.750 0.000
```

Computed properties:
The energy above the most stable polymorph in this dataset comes out at 3.1 kJ per mole of atoms.

8.
A plane-wave DFT calculation with PBE-GGA was carried out for a relaxed LiHf2Ga crystal.

Geometry as CIF:
```
data_LiHf2Ga
_chemical_formula_sum 'Li4 Hf8 Ga4'
_space_group_name_H-M_alt 'F -4 3 m'
_space_group_IT_number 216
_space_group_name_Hall 'F -4 2 3'
_cell_length_a 6.756
_cell_length_b 6.756
_cell_length_c 6.756
_cell_angle_alpha 90.00
_cell_angle_beta 90.00
_cell_angle_gamma 90.00
loop_
_atom_site_label
_atom_site_type_symbol
_atom_site_fract_x
_atom_site_fract_y
_atom_site_fract_z
Li1 Li 0.000 0.000 0.000
Hf1 Hf 0.000 0.000 0.500
Hf2 Hf 0.250 0.250 0.250
Ga1 Ga 0.250 0.250 0.750
```

Number 1: final energy -3.59 eV/atom. Number 2: final energy -5.43 eV/atom. Number 3: final energy -8.22 eV/atom. Number 4: final energy -10.74 eV/atom. Number 5: final energy -3.18 eV/atom. Number 6: final energy -5.60 eV/atom. Number 7: final energy -4.85 eV/atom. Number 8: final energy -5.97 eV/atom.